Density functional theory data (GGA-PBE) for a relaxed structure of Hf2ZrCu.

Summary:
ΔE_f, eV/atom: -0.08
Relative energy among the computed polymorphs, meV per atom: 0

Cell and atoms, written as extended XYZ:
```
4
Lattice="3.1871 0.0000 0.0000 0.0000 3.1871 0.0000 0.0000 0.0000 7.8352" Properties=species:S:1:pos:R:3 pbc="T T T"
Hf 0.0000 0.0000 1.7217
Hf 0.0000 0.0000 6.1135
Zr 1.5935 1.5935 3.9176
Cu 1.5935 1.5935 0.0000
```

Density functional theory data (GGA-PBE) for a relaxed structure of Tm8Ga3Te3P.

Summary:
E_form (uncorrected), eV/atom: -0.85

Cell and atoms, written as extended XYZ:
```
15
Lattice="7.1040 -4.0866 0.0000 7.1040 4.0866 0.0000 -4.7483 0.0000 7.1290" Properties=species:S:1:pos:R:3 pbc="T T T"
Tm -0.0617 0.0000 5.1102
Tm 3.5685 2.0848 5.1103
Tm 5.8913 2.0848 2.0187
Tm 2.3663 0.0000 1.9269
Tm 7.0935 0.0000 5.2022
Tm 3.5685 -2.0848 5.1103
Tm 5.8913 -2.0848 2.0187
Tm 9.5215 0.0000 2.0189
Ga 1.1779 2.0433 3.5645
Ga 1.1779 -2.0433 3.5645
Ga 4.7299 0.0000 3.5645
Te 0.0000 0.0000 0.0000
Te 3.5520 2.0433 0.0000
Te 3.5520 -2.0433 0.0000
P -2.3741 0.0000 3.5645
```

Density functional theory data (GGA-PBE) for a relaxed structure of HfHgPd.

Summary:
ΔE_f, eV/atom: -0.40

Cell and atoms, written as extended XYZ:
```
3
Lattice="-1.7715 1.7781 4.4878 1.7715 -1.7781 4.4878 1.7715 1.7781 -4.4878" Properties=species:S:1:pos:R:3 pbc="T T T"
Hf 0.0000 0.0000 0.0000
Hg 0.0000 0.0000 6.0606
Pd 0.0000 0.0000 3.0652
```

Density functional theory data (GGA-PBE) for a relaxed structure of ZrTi2Pd.

Summary:
ΔE_f, eV/atom: -0.29

Cell and atoms, written as extended XYZ:
```
4
Lattice="3.1711 0.0000 0.0000 0.0000 3.1711 0.0000 0.0000 0.0000 7.0962" Properties=species:S:1:pos:R:3 pbc="T T T"
Zr 0.0000 0.0000 0.0000
Ti 1.5855 1.5855 1.9496
Ti 1.5855 1.5855 5.1466
Pd 0.0000 0.0000 3.5481
```

| no. | DFT total energy (eV per atom) | total moment (μB/atom) |
| --- | --- | --- |
| 1 | -8.22 | 0.000 |
| 2 | -4.83 | 0.052 |
| 3 | -5.55 | 0.000 |
| 4 | -7.67 | 0.000 |